Below is crystalline ScBr at its relaxed geometry, with properties calculated at the PBE level.

Values from the calculation:
- Space group: R3m, No. 160
- DOS at the Fermi energy: 2.793 states/eV/cell
- Volume: 148.9 Å³ per cell
- Total moment: 0.00 μB per cell
- E: -0.3548 Ry per atom

Cell: 3.5138 3.5138 13.9280 Å, 90.00 90.00 120.00°
Fractional positions:
Sc1 0.0000 0.0000 0.0000
Sc2 0.3333 0.6667 0.6667
Sc3 0.6667 0.3333 0.3333
Br1 0.0000 0.0000 0.8046
Br2 0.3333 0.6667 0.4713
Br3 0.6667 0.3333 0.1380